[1]
DFT (PBE-GGA) results for a relaxed structure of NbV.

Cell lengths 5.6451, 5.6451, 5.6451 Å; angles 90.00, 90.00, 90.00 degrees
Sites, in units of the cell vectors:
V 0.7500 0.2500 0.7500
V 0.2500 0.7500 0.7500
V 0.7500 0.7500 0.2500
V 0.2500 0.2500 0.2500
Nb 0.0000 0.0000 0.0000
Nb 0.0000 0.5000 0.5000
Nb 0.5000 0.5000 0.0000
Nb 0.5000 0.0000 0.5000

Summary:
Theoretical density = 5.31 g/cm3
Distance to the lowest polymorph of the same formula = 2385.4 meV/atom
Calculated formation energy = 2429 meV/atom

[2]
DFT (PBE-GGA) results for a relaxed structure of NbV3.

Cell lengths 4.3711, 4.3711, 4.3711 Å; angles 60.00, 60.00, 60.00 degrees
Sites, in units of the cell vectors:
Nb 0.5000 0.5000 0.5000
V 0.7500 0.7500 0.7500
V 0.0000 0.0000 0.0000
V 0.2500 0.2500 0.2500

Summary:
Theoretical density = 6.91 g/cm3
Calculated formation energy = 50 meV/atom

[3]
DFT (PBE-GGA) results for a relaxed structure of NbV.

Cell lengths 8.0675, 8.0675, 8.0675 Å; angles 90.00, 90.00, 90.00 degrees
Sites, in units of the cell vectors:
V 0.3271 0.3271 0.6729
V 0.8271 0.8271 0.1729
V 0.1729 0.1729 0.1729
V 0.6729 0.6729 0.6729
V 0.3271 0.6729 0.3271
V 0.1729 0.8271 0.8271
V 0.8271 0.1729 0.8271
V 0.6729 0.3271 0.3271
Nb 0.1261 0.8739 0.1261
Nb 0.3739 0.3739 0.3739
Nb 0.6261 0.3739 0.6261
Nb 0.1261 0.1261 0.8739
Nb 0.3739 0.6261 0.6261
Nb 0.6261 0.6261 0.3739
Nb 0.8739 0.8739 0.8739
Nb 0.8739 0.1261 0.1261

Summary:
Theoretical density = 3.64 g/cm3
Distance to the lowest polymorph of the same formula = 2187.0 meV/atom
Calculated formation energy = 2231 meV/atom

[4]
DFT (PBE-GGA) results for a relaxed structure of NbV3.

Cell lengths 5.0899, 5.1575, 5.1827 Å; angles 117.80, 96.06, 94.51 degrees
Sites, in units of the cell vectors:
V 0.6314 0.0590 0.3175
V 0.3686 0.9410 0.6825
V 0.1139 0.2988 0.5568
V 0.1266 0.8237 0.0662
V 0.8734 0.1763 0.9338
V 0.8861 0.7012 0.4432
Nb 0.3690 0.4333 0.1877
Nb 0.6310 0.5667 0.8123

Summary:
Theoretical density = 6.89 g/cm3
Calculated formation energy = 55 meV/atom

[5]
DFT (PBE-GGA) results for a relaxed structure of NbV.

Cell lengths 6.7405, 8.2214, 9.7412 Å; angles 90.00, 90.00, 90.00 degrees
Sites, in units of the cell vectors:
Nb 0.0000 0.3096 0.5000
Nb 0.7500 0.4404 0.2500
Nb 0.2500 0.5596 0.2500
Nb 0.7500 0.0596 0.2500
Nb 0.5000 0.1904 0.5000
Nb 0.2500 0.0596 0.7500
Nb 0.7500 0.9404 0.7500
Nb 0.2500 0.4404 0.7500
Nb 0.5000 0.3096 0.0000
Nb 0.7500 0.5596 0.7500
Nb 0.2500 0.9404 0.2500
Nb 0.5000 0.6904 0.0000
Nb 0.0000 0.6904 0.5000
Nb 0.0000 0.1904 0.0000
Nb 0.0000 0.8096 0.0000
Nb 0.5000 0.8096 0.5000
V 0.0773 0.2500 0.2500
V 0.8273 0.0000 0.5000
V 0.5773 0.7500 0.2500
V 0.3273 0.5000 0.5000
V 0.4227 0.7500 0.7500
V 0.6727 0.5000 0.5000
V 0.1727 0.0000 0.5000
V 0.3273 0.0000 0.0000
V 0.6727 0.0000 0.0000
V 0.9227 0.7500 0.2500
V 0.5773 0.2500 0.7500
V 0.9227 0.2500 0.7500
V 0.0773 0.7500 0.7500
V 0.1727 0.5000 0.0000
V 0.4227 0.2500 0.2500
V 0.8273 0.5000 0.0000

Summary:
Theoretical density = 7.08 g/cm3
Distance to the lowest polymorph of the same formula = 463.8 meV/atom
Calculated formation energy = 508 meV/atom

[6]
DFT (PBE-GGA) results for a relaxed structure of Nb7V.

Cell lengths 4.6429, 4.6429, 7.3508 Å; angles 108.41, 108.41, 90.00 degrees
Sites, in units of the cell vectors:
Nb 0.1223 0.6223 0.2446
Nb 0.6223 0.1223 0.2446
Nb 0.3777 0.8777 0.7554
Nb 0.8777 0.3777 0.7554
Nb 0.2476 0.2476 0.4952
Nb 0.7524 0.7524 0.5048
Nb 0.5000 0.5000 0.0000
V 0.0000 0.0000 0.0000

Summary:
Theoretical density = 8.21 g/cm3
Calculated formation energy = 8 meV/atom